[1]
First-principles (PBE) data for a relaxed structure of Dy5Th4Sc2, as listed in the Alexandria database.

Values from the calculation:
Volume ... 336 Å³/cell
Energy above the most stable polymorph in this dataset ... 0.0000 eV/atom
Calculated formation energy ... 0.03 eV per atom
Magnetic moment ... 0.000 μB/atom

Cell: 3.5457 8.5312 11.6377 Å, 104.69 98.76 90.00°
Last column: nearest neighbours and their distance in Å.
Fractional positions:
Dy 0.1362 0.0860 0.2724  3 Th 3.48-3.57, 7 Dy 3.49-3.57, 2 Sc 3.55
Dy 0.8638 0.9140 0.7276  3 Th 3.48-3.57, 7 Dy 3.49-3.57, 2 Sc 3.55
Dy 0.2243 0.8090 0.4486  3 Th 3.47, 7 Dy 3.49-3.63, 2 Sc 3.50
Dy 0.5000 0.0000 0.0000  4 Th 3.51, 6 Dy 3.51-3.55, 2 Sc 3.56
Dy 0.7757 0.1910 0.5514  3 Th 3.47, 7 Dy 3.49-3.63, 2 Sc 3.50
Th 0.6810 0.4486 0.3620  5 Dy 3.47-3.48, 1 Sc 3.48, 6 Th 3.51-3.55
Th 0.0448 0.3661 0.0896  4 Sc 3.38-3.46, 5 Th 3.45-3.55, 3 Dy 3.51-3.57
Th 0.3190 0.5514 0.6380  5 Dy 3.47-3.48, 1 Sc 3.48, 6 Th 3.51-3.55
Th 0.9552 0.6339 0.9104  4 Sc 3.38-3.46, 5 Th 3.45-3.55, 3 Dy 3.51-3.57
Sc 0.5887 0.7144 0.1775  5 Th 3.38-3.48, 5 Dy 3.50-3.56, 2 Sc 3.55
Sc 0.4113 0.2856 0.8225  5 Th 3.38-3.48, 5 Dy 3.50-3.56, 2 Sc 3.55

[2]
First-principles (PBE) data for a relaxed structure of Pr2Ho2Ge3, as listed in the Alexandria database.

Values from the calculation:
Volume ... 203 Å³/cell
Calculated formation energy ... -0.64 eV per atom
Magnetic moment ... 0.000 μB/atom

Cell: 4.6359 5.8658 8.2321 Å, 99.23 90.04 113.25°
Last column: nearest neighbours and their distance in Å.
Fractional positions:
Pr 0.8733 0.7479 0.6493  4 Ge 2.97-3.11
Pr 0.1267 0.2521 0.3507  4 Ge 2.97-3.11
Ho 0.6409 0.2819 0.9258  5 Ge 2.89-3.05
Ho 0.3591 0.7181 0.0742  5 Ge 2.89-3.05
Ge 0.0000 0.0000 0.0000  4 Ho 2.89-2.90, 2 Pr 2.97
Ge 0.7985 0.5963 0.2718  3 Ho 2.97-3.05, 3 Pr 3.07-3.11
Ge 0.2015 0.4037 0.7282  3 Ho 2.97-3.05, 3 Pr 3.07-3.11

no.,VASP energy (Ha/atom)
1,-0.2171
2,-0.1945